Entry 1:
VASP calculation (SCAN) on a PBEsol-optimized structure of BaLiIn.

Values from the calculation:
ΔE_f = -0.31 eV per atom
Energy above the most stable polymorph in this dataset = 12.8 meV/atom

Cell: 3.908 3.908 12.104 Å, 90.00 90.00 90.00°
Sites, in units of the cell vectors:
Ba1 0.000 0.000 0.000
Ba2 0.500 0.500 0.500
Li1 0.000 0.000 0.286
Li2 0.500 0.500 0.786
In1 0.000 0.000 0.695
In2 0.500 0.500 0.195


Entry 2:
VASP calculation (SCAN) on a PBEsol-optimized structure of BaLi2NiO3.

Values from the calculation:
Uncorrected formation energy = -13.6 eV/f.u.

Cell: 8.011 6.674 6.935 Å, 90.00 90.00 90.00°
Sites, in units of the cell vectors:
Ba1 0.037 0.250 0.141
Ba2 0.463 0.750 0.641
Ba3 0.537 0.250 0.359
Ba4 0.963 0.750 0.859
Li1 0.144 0.040 0.554
Li2 0.144 0.460 0.554
Li3 0.356 0.540 0.054
Li4 0.356 0.960 0.054
Li5 0.644 0.040 0.946
Li6 0.644 0.460 0.946
Li7 0.856 0.540 0.446
Li8 0.856 0.960 0.446
Ni1 0.187 0.750 0.326
Ni2 0.313 0.250 0.826
Ni3 0.687 0.750 0.174
Ni4 0.813 0.250 0.674
O1 0.012 0.750 0.496
O2 0.222 0.002 0.816
O3 0.222 0.498 0.816
O4 0.278 0.502 0.316
O5 0.278 0.998 0.316
O6 0.488 0.250 0.996
O7 0.512 0.750 0.004
O8 0.722 0.002 0.684
O9 0.722 0.498 0.684
O10 0.778 0.502 0.184
O11 0.778 0.998 0.184
O12 0.988 0.250 0.504


Entry 3:
VASP calculation (SCAN) on a PBEsol-optimized structure of Tb3NiGe2.

Values from the calculation:
ΔE_f = -0.86 eV per atom

Cell: 11.283 4.130 11.140 Å, 90.00 90.00 90.00°
Sites, in units of the cell vectors:
Tb1 0.056 0.250 0.127
Tb2 0.119 0.750 0.559
Tb3 0.219 0.250 0.804
Tb4 0.281 0.750 0.304
Tb5 0.381 0.250 0.059
Tb6 0.444 0.750 0.627
Tb7 0.556 0.250 0.373
Tb8 0.619 0.750 0.941
Tb9 0.719 0.250 0.696
Tb10 0.781 0.750 0.196
Tb11 0.881 0.250 0.441
Tb12 0.944 0.750 0.873
Ni1 0.129 0.250 0.368
Ni2 0.371 0.750 0.868
Ni3 0.629 0.250 0.132
Ni4 0.871 0.750 0.632
Ge1 0.019 0.750 0.313
Ge2 0.193 0.750 0.998
Ge3 0.307 0.250 0.498
Ge4 0.481 0.250 0.813
Ge5 0.519 0.750 0.187
Ge6 0.693 0.750 0.502
Ge7 0.807 0.250 0.002
Ge8 0.981 0.250 0.687


Copy entry 2 word for word.
VASP calculation (SCAN) on a PBEsol-optimized structure of BaLi2NiO3.

Values from the calculation:
Uncorrected formation energy = -13.6 eV/f.u.

Cell: 8.011 6.674 6.935 Å, 90.00 90.00 90.00°
Sites, in units of the cell vectors:
Ba1 0.037 0.250 0.141
Ba2 0.463 0.750 0.641
Ba3 0.537 0.250 0.359
Ba4 0.963 0.750 0.859
Li1 0.144 0.040 0.554
Li2 0.144 0.460 0.554
Li3 0.356 0.540 0.054
Li4 0.356 0.960 0.054
Li5 0.644 0.040 0.946
Li6 0.644 0.460 0.946
Li7 0.856 0.540 0.446
Li8 0.856 0.960 0.446
Ni1 0.187 0.750 0.326
Ni2 0.313 0.250 0.826
Ni3 0.687 0.750 0.174
Ni4 0.813 0.250 0.674
O1 0.012 0.750 0.496
O2 0.222 0.002 0.816
O3 0.222 0.498 0.816
O4 0.278 0.502 0.316
O5 0.278 0.998 0.316
O6 0.488 0.250 0.996
O7 0.512 0.750 0.004
O8 0.722 0.002 0.684
O9 0.722 0.498 0.684
O10 0.778 0.502 0.184
O11 0.778 0.998 0.184
O12 0.988 0.250 0.504